(1)
DFT (PBE) results for a relaxed Na2PaPb3S6 crystal.

Output
**Formation energy (no corrections)**: -0.998 eV per atom
**Total DFT energy (no corrections)**: -119.99 eV/cell

a b c (Å): 7.209 12.467 7.231
angles (deg): 90.00 108.99 90.00
Space group C2/m (No. 12)
Asymmetric unit:
Na 0.000 0.168 0.000 [4 per cell]
Pa 0.000 0.500 0.000 [2 per cell]
Pb 0.000 0.000 0.500 [2 per cell]
Pb 0.000 0.335 0.500 [4 per cell]
S 0.229 0.500 0.757 [4 per cell]
S 0.233 0.346 0.231 [8 per cell]

(2)
DFT (PBE) results for a relaxed ScPd4Pt crystal.

Output
**E_form**: -0.630 eV per atom
**ΔE to the lowest computed polymorph**: 0 meV/atom
**Total DFT energy (no corrections)**: -73.85 eV/cell

a b c (Å): 3.986 11.917 4.014
angles (deg): 90.00 90.00 90.00
Space group Cmmm (No. 65)
Asymmetric unit:
Sc 0.000 0.000 0.000 [2 per cell]
Pd 0.000 0.168 0.500 [4 per cell]
Pd 0.000 0.335 0.000 [4 per cell]
Pt 0.000 0.500 0.500 [2 per cell]

(3)
DFT (PBE) results for a relaxed PuUSnIr crystal.

Output
**E_form**: -0.248 eV per atom
**Total DFT energy (no corrections)**: -157.91 eV/cell

a b c (Å): 6.968 6.968 6.968
angles (deg): 90.00 90.00 90.00
Space group F-43m (No. 216)
Asymmetric unit:
Pu 0.000 0.000 0.000 [4 per cell]
U 0.250 0.250 0.750 [4 per cell]
Sn 0.250 0.250 0.250 [4 per cell]
Ir 0.000 0.000 0.500 [4 per cell]